Entry from the Alexandria database: a geometry-optimized Zr3NiSb5 structure (PBE).

- energy relative to the elements, uncorrected (eV/atom) = -0.311
- ρ (g/cm³) = 7.811
- calculated volume (Å³ per cell) = 400.2

abc: 8.8633 8.8633 5.8822
angles: 90.00 90.00 120.00
Last column: nearest neighbours and their distance in Å.
Atoms (fractional coordinates):
Zr (0.0000, 0.3831, 0.2500)  9 Sb 3.00-3.17
Zr (0.0000, 0.6169, 0.7500)  9 Sb 3.00-3.17
Zr (0.3831, 0.0000, 0.2500)  9 Sb 3.00-3.17
Zr (0.3831, 0.3831, 0.7500)  9 Sb 3.00-3.17
Zr (0.6169, 0.0000, 0.7500)  9 Sb 3.00-3.17
Zr (0.6169, 0.6169, 0.2500)  9 Sb 3.00-3.17
Ni (0.0000, 0.0000, 0.0000)  6 Sb 2.73, 2 Ni 2.94
Ni (0.0000, 0.0000, 0.5000)  6 Sb 2.73, 2 Ni 2.94
Sb (0.0000, 0.2597, 0.7500)  2 Ni 2.73, 2 Zr 3.00
Sb (0.0000, 0.7403, 0.2500)  2 Ni 2.73, 2 Zr 3.00
Sb (0.2597, 0.0000, 0.7500)  2 Ni 2.73, 2 Zr 3.00
Sb (0.2597, 0.2597, 0.2500)  2 Ni 2.73, 2 Zr 3.00
Sb (0.3333, 0.6667, 0.0000)  2 Sb 2.94, 6 Zr 3.13
Sb (0.3333, 0.6667, 0.5000)  2 Sb 2.94, 6 Zr 3.13
Sb (0.6667, 0.3333, 0.0000)  2 Sb 2.94, 6 Zr 3.13
Sb (0.6667, 0.3333, 0.5000)  2 Sb 2.94, 6 Zr 3.13
Sb (0.7403, 0.0000, 0.2500)  2 Ni 2.73, 2 Zr 3.00
Sb (0.7403, 0.7403, 0.7500)  2 Ni 2.73, 2 Zr 3.00